An optimized crystal structure of CaCd2MoO6, computed with PBE with a Hubbard U.

## Properties
The symmetry is P2_1/c, No. 14.

Unit cell a=5.6146 b=5.7386 c=9.8850 alpha=90.00 beta=123.86 gamma=90.00
Closest atoms and distances in Å follow each position.
Positions (direct):
Ca1 0.0000 0.0000 0.0000  6 O 2.29-2.40
Ca2 0.0000 0.5000 0.5000  6 O 2.29-2.40
Cd1 0.2440 0.0406 0.7440  4 O 2.25-2.30
Cd2 0.2440 0.4594 0.2440  4 O 2.25-2.30
Cd3 0.7560 0.5406 0.7560  4 O 2.25-2.30
Cd4 0.7560 0.9594 0.2560  4 O 2.25-2.30
Mo1 0.5000 0.0000 0.5000  6 O 1.93-2.00
Mo2 0.5000 0.5000 0.0000  6 O 1.93-2.00
O1 0.1657 0.0749 0.2748  1 Mo 2.00
O2 0.1657 0.4251 0.7748  1 Mo 2.00
O3 0.2529 0.6619 0.0470  1 Mo 1.93
O4 0.2529 0.8381 0.5470  1 Mo 1.93
O5 0.4252 0.2126 0.0755  1 Mo 1.95
O6 0.4252 0.2874 0.5755  1 Mo 1.95
O7 0.5748 0.7126 0.4245  1 Mo 1.95
O8 0.5748 0.7874 0.9245  1 Mo 1.95
O9 0.7471 0.1619 0.4530  1 Mo 1.93
O10 0.7471 0.3381 0.9530  1 Mo 1.93
O11 0.8343 0.5749 0.2252  1 Mo 2.00
O12 0.8343 0.9251 0.7252  1 Mo 2.00

=====

An optimized crystal structure of Ca2CdMoO6, computed with PBE with a Hubbard U.

## Properties
The symmetry is P4mm, No. 99.

Unit cell a=5.4466 b=5.4466 c=5.2209 alpha=90.00 beta=90.00 gamma=90.00
Closest atoms and distances in Å follow each position.
Positions (direct):
Ca1 0.0000 0.5000 0.0000  4 O 2.35
Ca2 0.5000 0.0000 0.0000  4 O 2.35
Cd1 0.0000 0.0000 0.5481  5 O 2.09-2.30
Mo1 0.5000 0.5000 0.6180  5 O 1.81-1.90
O1 0.0000 0.0000 0.1478  1 Cd 2.09
O2 0.2687 0.2687 0.7421  1 Mo 1.90
O3 0.2687 0.7313 0.7421  1 Mo 1.90
O4 0.5000 0.5000 0.2707  1 Mo 1.81
O5 0.7313 0.2687 0.7421  1 Mo 1.90
O6 0.7313 0.7313 0.7421  1 Mo 1.90

=====

Computed E, in the same sequence as the records: -5.74 -6.18 eV/atom.